No. 1
Crystalline KLaTa2 at its relaxed geometry, computed with PBE.

Computed properties:
Energy above the most stable polymorph in this dataset: 1172.4 meV per atom
Volume: 25.42 Å³ per atom
VASP energy: -91.291 eV for the cell shown
Formation energy: 1.7269 eV per atom

Cell: 7.4086 7.4086 7.4086 Å, 90.00 90.00 90.00°
Closest atoms and distances in Å follow each position.
Atoms (fractional coordinates):
K 0.0000 0.0000 0.0000  8 Ta 3.21
K 0.0000 0.5000 0.5000  8 Ta 3.21
K 0.5000 0.0000 0.5000  8 Ta 3.21
K 0.5000 0.5000 0.0000  8 Ta 3.21
La 0.0000 0.0000 0.5000  8 Ta 3.21
La 0.0000 0.5000 0.0000  8 Ta 3.21
La 0.5000 0.0000 0.0000  8 Ta 3.21
La 0.5000 0.5000 0.5000  8 Ta 3.21
Ta 0.2500 0.2500 0.2500  4 La 3.21, 4 K 3.21
Ta 0.2500 0.2500 0.7500  4 La 3.21, 4 K 3.21
Ta 0.2500 0.7500 0.2500  4 La 3.21, 4 K 3.21
Ta 0.2500 0.7500 0.7500  4 La 3.21, 4 K 3.21
Ta 0.7500 0.2500 0.2500  4 La 3.21, 4 K 3.21
Ta 0.7500 0.2500 0.7500  4 La 3.21, 4 K 3.21
Ta 0.7500 0.7500 0.2500  4 La 3.21, 4 K 3.21
Ta 0.7500 0.7500 0.7500  4 La 3.21, 4 K 3.21



No. 2
Crystalline BeP2Br at its relaxed geometry, computed with PBE.

Computed properties:
Energy above the most stable polymorph in this dataset: 415.6 meV per atom
Formation energy (no corrections): 0.183 eV/atom
Volume: 26.23 Å³ per atom
VASP energy: -30.977 eV for the cell shown

Cell: 3.1761 7.4196 8.9038 Å, 90.00 90.00 90.00°
Closest atoms and distances in Å follow each position.
Atoms (fractional coordinates):
Be 0.0000 0.0000 0.0000  2 Br 2.19, 2 P 2.43
Be 0.5000 0.5000 0.0000  2 Br 2.19, 2 P 2.43
P 0.0000 0.0000 0.3676  2 P 2.14
P 0.0000 0.5000 0.2061  2 P 2.14
P 0.5000 0.0000 0.2061  2 P 2.14
P 0.5000 0.5000 0.3676  2 P 2.14
Br 0.0000 0.5000 0.8313  2 Be 2.19
Br 0.5000 0.0000 0.8313  2 Be 2.19



No. 3
Crystalline La5Ag2Au at its relaxed geometry, computed with PBE.

Computed properties:
Volume: 30.44 Å³ per atom
VASP energy: -71.900 eV for the cell shown
Formation energy: -0.2916 eV per atom

Cell: 9.8363 9.8363 9.8363 Å, 133.83 133.83 67.36°
Closest atoms and distances in Å follow each position.
Atoms (fractional coordinates):
La 0.0000 0.0000 0.0000  4 Ag 3.04
La 0.0110 0.5110 0.8324  2 Au 3.27, 3 Ag 3.40-3.42, 2 La 3.60-3.63
La 0.1786 0.0110 0.5000  2 Au 3.27, 3 Ag 3.40-3.42, 2 La 3.60-3.63
La 0.3214 0.8214 0.8324  2 Au 3.27, 3 Ag 3.40-3.42, 2 La 3.60-3.63
La 0.4890 0.3214 0.5000  2 Au 3.27, 3 Ag 3.40-3.42, 2 La 3.60-3.63
La 0.5000 0.5000 0.0000  4 Ag 3.04
La 0.5110 0.6786 0.5000  2 Au 3.27, 3 Ag 3.40-3.42, 2 La 3.60-3.63
La 0.6786 0.1786 0.1676  2 Au 3.27, 3 Ag 3.40-3.42, 2 La 3.60-3.63
La 0.8214 0.9890 0.5000  2 Au 3.27, 3 Ag 3.40-3.42, 2 La 3.60-3.63
La 0.9890 0.4890 0.1676  2 Au 3.27, 3 Ag 3.40-3.42, 2 La 3.60-3.63
Ag 0.1271 0.3729 0.5000  1 Ag 2.77, 2 La 3.04
Ag 0.3729 0.8729 0.2457  1 Ag 2.77, 2 La 3.04
Ag 0.6271 0.1271 0.7543  1 Ag 2.77, 2 La 3.04
Ag 0.8729 0.6271 0.5000  1 Ag 2.77, 2 La 3.04
Au 0.2500 0.2500 0.0000  8 La 3.27
Au 0.7500 0.7500 0.0000  8 La 3.27



No. 4
Crystalline LaSmGeBr at its relaxed geometry, computed with PBE.

Computed properties:
Formation energy (no corrections): -0.871 eV/atom
Volume: 34.42 Å³ per atom
VASP energy: -38.843 eV for the cell shown

Cell: 6.0091 5.1149 8.9602 Å, 90.00 90.00 90.00°
Closest atoms and distances in Å follow each position.
Atoms (fractional coordinates):
La 0.0000 0.0000 0.0000  3 Br 2.97, 2 Ge 3.00
La 0.0000 0.5000 0.5000  3 Br 2.97, 2 Ge 3.00
Sm 0.5000 0.0000 0.6685  3 Ge 2.97, 2 Br 3.00
Sm 0.5000 0.5000 0.1685  3 Ge 2.97, 2 Br 3.00
Ge 0.5000 0.0000 0.0002  3 Sm 2.97, 2 La 3.00
Ge 0.5000 0.5000 0.5002  3 Sm 2.97, 2 La 3.00
Br 0.0000 0.0000 0.6687  3 La 2.97, 2 Sm 3.00
Br 0.0000 0.5000 0.1687  3 La 2.97, 2 Sm 3.00